Record 1
# HgRh3Pb (PBE, relaxed)
# * calculated formation energy: 1.25 eV/atom
# * offset from the most stable computed form: 0.0000 eV/atom
data_HgRh3Pb
_chemical_formula_sum 'Hg1 Rh3 Pb1'
_space_group_name_H-M_alt 'P 1'
_space_group_IT_number 1
_space_group_name_Hall 'P 1'
_cell_length_a 4.982
_cell_length_b 4.982
_cell_length_c 4.982
_cell_angle_alpha 90.00
_cell_angle_beta 90.00
_cell_angle_gamma 90.00
loop_
_atom_site_label
_atom_site_type_symbol
_atom_site_fract_x
_atom_site_fract_y
_atom_site_fract_z
Pb1 Pb 0.000 0.000 0.000
Rh1 Rh 0.000 0.500 0.000
Rh2 Rh 0.000 0.000 0.500
Hg1 Hg 0.500 0.500 0.500
Rh3 Rh 0.500 0.000 0.000

=====

Record 2
# Hg2RhPb (PBE, relaxed)
# * calculated formation energy: 0.23 eV/atom
data_Hg2RhPb
_chemical_formula_sum 'Hg2 Rh1 Pb1'
_space_group_name_H-M_alt 'P 1'
_space_group_IT_number 1
_space_group_name_Hall 'P 1'
_cell_length_a 5.390
_cell_length_b 5.390
_cell_length_c 5.390
_cell_angle_alpha 131.71
_cell_angle_beta 131.71
_cell_angle_gamma 70.69
loop_
_atom_site_label
_atom_site_type_symbol
_atom_site_fract_x
_atom_site_fract_y
_atom_site_fract_z
Hg1 Hg 0.250 0.750 0.500
Rh1 Rh 0.750 0.250 0.500
Pb1 Pb 0.500 0.500 0.000
Hg2 Hg 0.000 0.000 0.000

=====

Record 3
# HgRh2Pb8 (PBE, relaxed)
# * calculated formation energy: 0.00 eV/atom
data_HgRh2Pb8
_chemical_formula_sum 'Hg1 Rh2 Pb8'
_space_group_name_H-M_alt 'P 1'
_space_group_IT_number 1
_space_group_name_Hall 'P 1'
_cell_length_a 5.409
_cell_length_b 7.753
_cell_length_c 7.753
_cell_angle_alpha 109.05
_cell_angle_beta 97.13
_cell_angle_gamma 97.13
loop_
_atom_site_label
_atom_site_type_symbol
_atom_site_fract_x
_atom_site_fract_y
_atom_site_fract_z
Pb1 Pb 0.403 0.664 0.925
Pb2 Pb 0.000 0.745 0.248
Rh1 Rh 0.500 0.311 0.683
Pb3 Pb 0.597 0.330 0.069
Pb4 Pb 0.000 0.248 0.745
Hg1 Hg 0.000 0.997 0.997
Pb5 Pb 0.403 0.925 0.664
Pb6 Pb 0.597 0.069 0.330
Rh2 Rh 0.500 0.683 0.311
Pb7 Pb 0.199 0.380 0.380
Pb8 Pb 0.801 0.614 0.614

=====

Record 4
# Hg2RhPb (PBE, relaxed)
# * calculated formation energy: 0.16 eV/atom
data_Hg2RhPb
_chemical_formula_sum 'Hg2 Rh1 Pb1'
_space_group_name_H-M_alt 'P 1'
_space_group_IT_number 1
_space_group_name_Hall 'P 1'
_cell_length_a 3.197
_cell_length_b 3.197
_cell_length_c 8.797
_cell_angle_alpha 90.00
_cell_angle_beta 90.00
_cell_angle_gamma 90.00
loop_
_atom_site_label
_atom_site_type_symbol
_atom_site_fract_x
_atom_site_fract_y
_atom_site_fract_z
Hg1 Hg 0.000 0.000 0.303
Pb1 Pb 0.500 0.500 0.000
Rh1 Rh 0.500 0.500 0.500
Hg2 Hg 0.000 0.000 0.697

=====

Record 5
# Hg2RhPb (PBE, relaxed)
# * calculated formation energy: 0.24 eV/atom
data_Hg2RhPb
_chemical_formula_sum 'Hg2 Rh1 Pb1'
_space_group_name_H-M_alt 'P 1'
_space_group_IT_number 1
_space_group_name_Hall 'P 1'
_cell_length_a 3.461
_cell_length_b 4.817
_cell_length_c 5.319
_cell_angle_alpha 77.95
_cell_angle_beta 90.00
_cell_angle_gamma 90.00
loop_
_atom_site_label
_atom_site_type_symbol
_atom_site_fract_x
_atom_site_fract_y
_atom_site_fract_z
Rh1 Rh 0.000 0.500 0.500
Pb1 Pb 0.500 0.000 0.500
Hg1 Hg 0.500 0.500 0.000
Hg2 Hg 0.000 0.000 0.000

=====

Record 6
# HgRhPb4 (PBE, relaxed)
# * calculated formation energy: 0.56 eV/atom
# * offset from the most stable computed form: 0.6204 eV/atom
data_HgRhPb4
_chemical_formula_sum 'Hg1 Rh1 Pb4'
_space_group_name_H-M_alt 'P 1'
_space_group_IT_number 1
_space_group_name_Hall 'P 1'
_cell_length_a 6.287
_cell_length_b 6.287
_cell_length_c 6.287
_cell_angle_alpha 60.00
_cell_angle_beta 60.00
_cell_angle_gamma 60.00
loop_
_atom_site_label
_atom_site_type_symbol
_atom_site_fract_x
_atom_site_fract_y
_atom_site_fract_z
Pb1 Pb 0.376 0.376 0.873
Pb2 Pb 0.376 0.873 0.376
Pb3 Pb 0.873 0.376 0.376
Rh1 Rh 0.750 0.750 0.750
Pb4 Pb 0.376 0.376 0.376
Hg1 Hg 0.000 0.000 0.000

=====

Record 7
# HgRh4Pb (PBE, relaxed)
# * calculated formation energy: 0.26 eV/atom
data_HgRh4Pb
_chemical_formula_sum 'Hg1 Rh4 Pb1'
_space_group_name_H-M_alt 'P 1'
_space_group_IT_number 1
_space_group_name_Hall 'P 1'
_cell_length_a 5.317
_cell_length_b 5.317
_cell_length_c 5.317
_cell_angle_alpha 60.00
_cell_angle_beta 60.00
_cell_angle_gamma 60.00
loop_
_atom_site_label
_atom_site_type_symbol
_atom_site_fract_x
_atom_site_fract_y
_atom_site_fract_z
Rh1 Rh 0.375 0.875 0.375
Pb1 Pb 0.000 0.000 0.000
Hg1 Hg 0.750 0.750 0.750
Rh2 Rh 0.375 0.375 0.875
Rh3 Rh 0.375 0.375 0.375
Rh4 Rh 0.875 0.375 0.375

=====

Record 8
# Hg4RhPb (PBE, relaxed)
# * calculated formation energy: 0.38 eV/atom
data_Hg4RhPb
_chemical_formula_sum 'Hg4 Rh1 Pb1'
_space_group_name_H-M_alt 'P 1'
_space_group_IT_number 1
_space_group_name_Hall 'P 1'
_cell_length_a 5.814
_cell_length_b 5.814
_cell_length_c 5.814
_cell_angle_alpha 60.00
_cell_angle_beta 60.00
_cell_angle_gamma 60.00
loop_
_atom_site_label
_atom_site_type_symbol
_atom_site_fract_x
_atom_site_fract_y
_atom_site_fract_z
Hg1 Hg 0.374 0.374 0.877
Pb1 Pb 0.750 0.750 0.750
Hg2 Hg 0.374 0.877 0.374
Rh1 Rh 0.000 0.000 0.000
Hg3 Hg 0.374 0.374 0.374
Hg4 Hg 0.877 0.374 0.374

=====

Record 9
# Sc2HgRhPb (PBE, relaxed)
# * calculated formation energy: 0.42 eV/atom
data_Sc2HgRhPb
_chemical_formula_sum 'Sc2 Hg1 Rh1 Pb1'
_space_group_name_H-M_alt 'P 1'
_space_group_IT_number 1
_space_group_name_Hall 'P 1'
_cell_length_a 5.197
_cell_length_b 5.003
_cell_length_c 5.197
_cell_angle_alpha 90.00
_cell_angle_beta 90.00
_cell_angle_gamma 90.00
loop_
_atom_site_label
_atom_site_type_symbol
_atom_site_fract_x
_atom_site_fract_y
_atom_site_fract_z
Pb1 Pb 0.500 0.500 0.500
Sc1 Sc 0.000 0.000 0.500
Rh1 Rh 0.000 0.500 0.000
Hg1 Hg 0.000 0.000 0.000
Sc2 Sc 0.500 0.000 0.000

=====

Record 10
# SnHgRhPb2 (PBE, relaxed)
# * calculated formation energy: 0.06 eV/atom
data_SnHgRhPb2
_chemical_formula_sum 'Sn1 Hg1 Rh1 Pb2'
_space_group_name_H-M_alt 'P 1'
_space_group_IT_number 1
_space_group_name_Hall 'P 1'
_cell_length_a 5.354
_cell_length_b 5.354
_cell_length_c 5.126
_cell_angle_alpha 90.00
_cell_angle_beta 90.00
_cell_angle_gamma 90.00
loop_
_atom_site_label
_atom_site_type_symbol
_atom_site_fract_x
_atom_site_fract_y
_atom_site_fract_z
Pb1 Pb 0.500 0.000 0.000
Rh1 Rh 0.000 0.000 0.000
Pb2 Pb 0.000 0.500 0.000
Hg1 Hg 0.500 0.500 0.500
Sn1 Sn 0.000 0.000 0.500

=====

Record 11
# Sr2HgRh4Pb3 (PBE, relaxed)
# * calculated formation energy: -0.29 eV/atom
data_Sr2HgRh4Pb3
_chemical_formula_sum 'Sr2 Hg1 Rh4 Pb3'
_space_group_name_H-M_alt 'P 1'
_space_group_IT_number 1
_space_group_name_Hall 'P 1'
_cell_length_a 4.619
_cell_length_b 4.619
_cell_length_c 11.213
_cell_angle_alpha 90.00
_cell_angle_beta 90.00
_cell_angle_gamma 90.00
loop_
_atom_site_label
_atom_site_type_symbol
_atom_site_fract_x
_atom_site_fract_y
_atom_site_fract_z
Rh1 Rh 0.500 0.000 0.635
Pb1 Pb 0.000 0.500 0.127
Rh2 Rh 0.500 0.500 0.000
Sr1 Sr 0.500 0.000 0.248
Pb2 Pb 0.500 0.000 0.873
Pb3 Pb 0.000 0.000 0.500
Sr2 Sr 0.000 0.500 0.752
Rh3 Rh 0.000 0.500 0.365
Rh4 Rh 0.000 0.000 0.000
Hg1 Hg 0.500 0.500 0.500

=====

Record 12
# Tb2HgRhPb (PBE, relaxed)
# * calculated formation energy: -0.56 eV/atom
data_Tb2HgRhPb
_chemical_formula_sum 'Tb4 Hg2 Rh2 Pb2'
_space_group_name_H-M_alt 'P 1'
_space_group_IT_number 1
_space_group_name_Hall 'P 1'
_cell_length_a 4.435
_cell_length_b 8.090
_cell_length_c 7.618
_cell_angle_alpha 110.77
_cell_angle_beta 90.00
_cell_angle_gamma 90.00
loop_
_atom_site_label
_atom_site_type_symbol
_atom_site_fract_x
_atom_site_fract_y
_atom_site_fract_z
Tb1 Tb 0.750 0.886 0.669
Pb1 Pb 0.250 0.539 0.675
Tb2 Tb 0.250 0.264 0.957
Hg1 Hg 0.750 0.271 0.669
Pb2 Pb 0.750 0.461 0.325
Rh1 Rh 0.250 0.887 0.910
Tb3 Tb 0.250 0.114 0.331
Rh2 Rh 0.750 0.113 0.090
Tb4 Tb 0.750 0.736 0.043
Hg2 Hg 0.250 0.729 0.331

=====

Record 13
# TcHgRh2Pb (PBE, relaxed)
# * calculated formation energy: 1.60 eV/atom
data_TcHgRh2Pb
_chemical_formula_sum 'Tc1 Hg1 Rh2 Pb1'
_space_group_name_H-M_alt 'P 1'
_space_group_IT_number 1
_space_group_name_Hall 'P 1'
_cell_length_a 5.011
_cell_length_b 5.051
_cell_length_c 5.011
_cell_angle_alpha 90.00
_cell_angle_beta 90.00
_cell_angle_gamma 90.00
loop_
_atom_site_label
_atom_site_type_symbol
_atom_site_fract_x
_atom_site_fract_y
_atom_site_fract_z
Pb1 Pb 0.500 0.500 0.500
Hg1 Hg 0.000 0.000 0.000
Rh1 Rh 0.500 0.000 0.000
Tc1 Tc 0.000 0.500 0.000
Rh2 Rh 0.000 0.000 0.500

=====

Record 14
# TcHg2RhPb (PBE, relaxed)
# * calculated formation energy: 1.00 eV/atom
data_TcHg2RhPb
_chemical_formula_sum 'Tc1 Hg2 Rh1 Pb1'
_space_group_name_H-M_alt 'P 1'
_space_group_IT_number 1
_space_group_name_Hall 'P 1'
_cell_length_a 5.177
_cell_length_b 5.127
_cell_length_c 5.177
_cell_angle_alpha 90.00
_cell_angle_beta 90.00
_cell_angle_gamma 90.00
loop_
_atom_site_label
_atom_site_type_symbol
_atom_site_fract_x
_atom_site_fract_y
_atom_site_fract_z
Pb1 Pb 0.000 0.500 0.000
Hg1 Hg 0.500 0.000 0.000
Tc1 Tc 0.500 0.500 0.500
Rh1 Rh 0.000 0.000 0.000
Hg2 Hg 0.000 0.000 0.500

=====

Record 15
# HgTeRhPb2 (PBE, relaxed)
# * energy relative to the elements, uncorrected: -0.027 eV/atom
data_HgTeRhPb2
_chemical_formula_sum 'Hg1 Te1 Rh1 Pb2'
_space_group_name_H-M_alt 'P 1'
_space_group_IT_number 1
_space_group_name_Hall 'P 1'
_cell_length_a 5.319
_cell_length_b 5.319
_cell_length_c 5.213
_cell_angle_alpha 90.00
_cell_angle_beta 90.00
_cell_angle_gamma 90.00
loop_
_atom_site_label
_atom_site_type_symbol
_atom_site_fract_x
_atom_site_fract_y
_atom_site_fract_z
Pb1 Pb 0.000 0.500 0.000
Te1 Te 0.500 0.500 0.500
Hg1 Hg 0.000 0.000 0.500
Pb2 Pb 0.500 0.000 0.000
Rh1 Rh 0.000 0.000 0.000

=====

Record 16
# ZnHgRhPb2 (PBE, relaxed)
# * calculated formation energy: 0.04 eV/atom
data_ZnHgRhPb2
_chemical_formula_sum 'Zn1 Hg1 Rh1 Pb2'
_space_group_name_H-M_alt 'P 1'
_space_group_IT_number 1
_space_group_name_Hall 'P 1'
_cell_length_a 5.259
_cell_length_b 5.259
_cell_length_c 4.936
_cell_angle_alpha 90.00
_cell_angle_beta 90.00
_cell_angle_gamma 90.00
loop_
_atom_site_label
_atom_site_type_symbol
_atom_site_fract_x
_atom_site_fract_y
_atom_site_fract_z
Rh1 Rh 0.000 0.000 0.000
Hg1 Hg 0.500 0.500 0.500
Zn1 Zn 0.000 0.000 0.500
Pb1 Pb 0.000 0.500 0.000
Pb2 Pb 0.500 0.000 0.000

=====

Record 17
# HgRuPb (PBE, relaxed)
# * calculated formation energy: 0.36 eV/atom
# * offset from the most stable computed form: 0.0821 eV/atom
data_HgRuPb
_chemical_formula_sum 'Hg1 Ru1 Pb1'
_space_group_name_H-M_alt 'P 1'
_space_group_IT_number 1
_space_group_name_Hall 'P 1'
_cell_length_a 3.256
_cell_length_b 4.328
_cell_length_c 5.432
_cell_angle_alpha 90.00
_cell_angle_beta 90.00
_cell_angle_gamma 90.00
loop_
_atom_site_label
_atom_site_type_symbol
_atom_site_fract_x
_atom_site_fract_y
_atom_site_fract_z
Hg1 Hg 0.500 0.500 0.500
Ru1 Ru 0.500 0.500 0.000
Pb1 Pb 0.000 0.000 0.000

=====

Record 18
# HgRuPb (PBE, relaxed)
# * calculated formation energy: 0.38 eV/atom
# * offset from the most stable computed form: 0.1043 eV/atom
data_HgRuPb
_chemical_formula_sum 'Hg1 Ru1 Pb1'
_space_group_name_H-M_alt 'P 1'
_space_group_IT_number 1
_space_group_name_Hall 'P 1'
_cell_length_a 3.183
_cell_length_b 4.433
_cell_length_c 5.398
_cell_angle_alpha 90.00
_cell_angle_beta 106.86
_cell_angle_gamma 90.00
loop_
_atom_site_label
_atom_site_type_symbol
_atom_site_fract_x
_atom_site_fract_y
_atom_site_fract_z
Hg1 Hg 0.215 0.500 0.343
Ru1 Ru 0.946 0.500 0.812
Pb1 Pb 0.463 0.000 0.846

=====

Record 19
# HgRuPb3 (PBE, relaxed)
# * calculated formation energy: 0.24 eV/atom
# * offset from the most stable computed form: 0.0000 eV/atom
data_HgRuPb3
_chemical_formula_sum 'Hg1 Ru1 Pb3'
_space_group_name_H-M_alt 'P 1'
_space_group_IT_number 1
_space_group_name_Hall 'P 1'
_cell_length_a 5.294
_cell_length_b 5.294
_cell_length_c 5.294
_cell_angle_alpha 90.00
_cell_angle_beta 90.00
_cell_angle_gamma 90.00
loop_
_atom_site_label
_atom_site_type_symbol
_atom_site_fract_x
_atom_site_fract_y
_atom_site_fract_z
Ru1 Ru 0.000 0.000 0.000
Pb1 Pb 0.000 0.500 0.000
Pb2 Pb 0.500 0.000 0.000
Pb3 Pb 0.000 0.000 0.500
Hg1 Hg 0.500 0.500 0.500

=====

Record 20
# HgRuPb (PBE, relaxed)
# * calculated formation energy: 0.62 eV/atom
# * offset from the most stable computed form: 0.3498 eV/atom
data_HgRuPb
_chemical_formula_sum 'Hg1 Ru1 Pb1'
_space_group_name_H-M_alt 'P 1'
_space_group_IT_number 1
_space_group_name_Hall 'P 1'
_cell_length_a 4.622
_cell_length_b 4.622
_cell_length_c 3.472
_cell_angle_alpha 90.00
_cell_angle_beta 90.00
_cell_angle_gamma 120.00
loop_
_atom_site_label
_atom_site_type_symbol
_atom_site_fract_x
_atom_site_fract_y
_atom_site_fract_z
Ru1 Ru 0.667 0.333 0.605
Pb1 Pb 0.333 0.667 0.423
Hg1 Hg 0.000 0.000 0.972

=====

| no. | DOS at the Fermi energy (states/eV/f.u.) |
| --- | --- |
| 1 | 3.381 |
| 2 | 1.852 |
| 3 | 7.009 |
| 4 | 2.302 |
| 5 | 2.653 |
| 6 | 3.756 |
| 7 | 11.520 |
| 8 | 3.495 |
| 9 | 5.143 |
| 10 | 6.214 |
| 11 | 4.771 |
| 12 | 2.370 |
| 13 | 6.810 |
| 14 | 2.796 |
| 15 | 2.660 |
| 16 | 2.551 |
| 17 | 1.695 |
| 18 | 3.287 |
| 19 | 4.379 |
| 20 | 2.297 |